# 1
Compound: LiPa2PtN4
Source: Alexandria
Functional: PBE
Structure: relaxed

Values from the calculation:
**Density**: 11.27 Mg/m³
**Formation energy from raw total energies**: -1.0062 eV/atom

Cell and atoms, written as POSCAR:
```
LiPa2PtN4
1.0
4.9425 0.2691 0.0000
-0.2693 4.9425 0.0000
-2.3366 -2.6058 4.3291
Li Pa Pt N
1 2 1 4
direct
0.4367 0.4367 0.0000
0.1871 0.6871 0.5000
0.6871 0.1871 0.5000
0.9372 0.9372 0.0000
0.9375 0.4373 0.0000
0.4373 0.9375 0.0000
0.1867 0.1867 0.4992
0.6875 0.6875 0.5008
```

---

# 2
Compound: SmTm4Au2
Source: Alexandria
Functional: PBE
Structure: relaxed

Values from the calculation:
**Density**: 9.74 Mg/m³
**Formation energy from the elements**: -284 meV/atom

Cell and atoms, written as POSCAR:
```
SmTm4Au2
1.0
4.8478 0.0000 0.0000
2.4239 4.1983 0.0000
2.4239 1.3994 10.2237
Sm Tm Au
1 4 2
direct
0.5000 0.5000 0.5000
0.7004 0.7004 0.8988
0.9008 0.9008 0.2975
0.2996 0.2996 0.1012
0.0992 0.0992 0.7025
0.6026 0.6026 0.1921
0.3974 0.3974 0.8079
```

---

# 3
Compound: TePdSeN2
Source: Alexandria
Functional: PBE
Structure: relaxed

Values from the calculation:
**Offset from the most stable computed form**: 27.4 meV per atom
**Density**: 6.29 Mg/m³
**Formation energy from raw total energies**: 1.4044 eV/atom

Cell and atoms, written as POSCAR:
```
TePdSeN2
1.0
-2.0521 -3.3002 0.0996
3.2770 -2.0501 -0.4129
0.6175 -0.2053 5.9208
Te Se Pd N
1 1 1 2
direct
0.0000 0.0000 0.0000
0.0000 0.0000 0.5000
0.5000 0.5000 0.5000
0.0000 0.5000 0.0000
0.5000 0.0000 0.0000
```

---

# 4
Compound: P2PdSO
Source: Alexandria
Functional: PBE
Structure: relaxed

Values from the calculation:
**Offset from the most stable computed form**: 0.0 meV per atom
**Density**: 5.04 Mg/m³
**Formation energy from raw total energies**: 0.3844 eV/atom

Cell and atoms, written as POSCAR:
```
P2PdSO
1.0
4.6545 0.0000 0.0000
0.0000 4.6545 0.0000
0.0000 0.0000 3.2895
P S O Pd
2 1 1 1
direct
0.0000 0.5000 0.0000
0.5000 0.0000 0.0000
0.0000 0.0000 0.0000
0.0000 0.0000 0.5000
0.5000 0.5000 0.5000
```

---

# 5
Compound: SrInGa4
Source: Alexandria
Functional: PBE
Structure: relaxed

Values from the calculation:
**Offset from the most stable computed form**: 33.0 meV per atom
**Density**: 5.77 Mg/m³
**Formation energy from the elements**: -193 meV/atom

Cell and atoms, written as POSCAR:
```
SrInGa4
1.0
5.8079 0.0000 0.0000
2.9040 5.0298 0.0000
2.9040 1.6766 4.7421
Sr Ga In
1 4 1
direct
0.2500 0.2500 0.2500
0.6251 0.6251 0.1246
0.6251 0.1246 0.6251
0.6251 0.6251 0.6251
0.1246 0.6251 0.6251
0.0000 0.0000 0.0000
```

---

# 6
Compound: Li2Mn2As2H
Source: Alexandria
Functional: PBE
Structure: relaxed

Values from the calculation:
**Density**: 4.99 Mg/m³
**Calculated total energy**: -5.418 eV per atom

Cell and atoms, written as POSCAR:
```
Li2Mn2As2H
1.0
3.7149 0.0000 0.0000
0.0000 3.7149 0.0000
-1.8575 -1.8575 6.6231
Li Mn As H
2 2 2 1
direct
0.1706 0.1706 0.3411
0.8294 0.8294 0.6589
0.0000 0.5000 0.0000
0.5000 0.0000 0.0000
0.3728 0.3728 0.7456
0.6272 0.6272 0.2544
0.0000 0.0000 0.0000
```